InCo2F: optimized geometry, PBE+U.

For the total DFT energy (no corrections), the calculation gives -15.16 eV per formula unit. The value obtained for the energy above the most stable polymorph in this dataset is 0.0000 eV/atom. For the volume, the calculation gives 61.4 Å³/f.u.

The structure belongs to space group I-42d (No. 122); the cell edges are 3.581, 3.581 and 19.141 Å and the angles 90.00°, 90.00° and 90.00°. The asymmetric unit holds In at (0.000, 0.000, 0.000), Co at (0.247, 0.250, 0.625) and F at (0.000, 0.000, 0.500).